A plane-wave DFT calculation with PBE+U was carried out for LiCo3NiO8 after structural relaxation.

abc: 5.6682 5.6682 10.5325
angles: 74.57 74.57 60.83
Last column: magnetic moment on the atom in μB.
Fractional coordinates of all 26 atoms:
1 Li 0.7625 0.2375 0.2500  0.01
2 Li 0.2375 0.7625 0.7500  0.01
3 Co 0.5000 0.5000 0.0000  1.16
4 Co 0.0000 0.5000 0.0000  1.14
5 Co 0.5000 0.5000 0.5000  1.16
6 Co 0.0000 0.0000 0.5000  1.13
7 Co 0.5000 0.0000 0.5000  1.14
8 Co 0.0000 0.0000 0.0000  1.13
9 Ni 0.0000 0.5000 0.5000  1.17
10 Ni 0.5000 0.0000 0.0000  1.17
11 O 0.3662 0.8620 0.4048  -0.09
12 O 0.8620 0.3662 0.9048  -0.09
13 O 0.1380 0.6338 0.0952  -0.09
14 O 0.6338 0.1380 0.5952  -0.09
15 O 0.3709 0.3602 0.4045  -0.10
16 O 0.8988 0.8513 0.8977  0.03
17 O 0.8513 0.8988 0.3977  0.03
18 O 0.3602 0.3709 0.9045  -0.10
19 O 0.8635 0.3611 0.4051  -0.12
20 O 0.3611 0.8635 0.9051  -0.12
21 O 0.6389 0.1365 0.0949  -0.12
22 O 0.1365 0.6389 0.5949  -0.12
23 O 0.6398 0.6291 0.0955  -0.10
24 O 0.1487 0.1012 0.6023  0.03
25 O 0.1012 0.1487 0.1023  0.03
26 O 0.6291 0.6398 0.5955  -0.10

- DOS at the Fermi energy: 0.014 states/eV per atom
- Distance to the lowest polymorph of the same formula: 0.007 eV/atom
- DFT total energy: -5.458 eV/atom